The following is a PBE with a Hubbard U calculation of crystalline Li5Ni6O12 at its relaxed geometry, from Alexandria.

- electronic total energy (eV for the cell shown) = -111.34
- size of the total moment (Bohr magnetons per cell) = 5.0
- crystal system = triclinic

abc: 5.833 6.412 6.433
angles: 70.90 76.53 65.94
Space group P1 (No. 1)
Unique sites:
Li 0.000 0.000 0.000 [1 per cell]
Li 0.156 0.334 0.673 [1 per cell]
Li 0.320 0.690 0.318 [1 per cell]
Li 0.640 0.326 0.677 [1 per cell]
Li 0.808 0.681 0.329 [1 per cell]
Ni 0.063 0.175 0.329 [1 per cell]
Ni 0.231 0.505 0.997 [1 per cell]
Ni 0.398 0.841 0.668 [1 per cell]
Ni 0.560 0.176 0.328 [1 per cell]
Ni 0.728 0.514 0.000 [1 per cell]
Ni 0.899 0.843 0.665 [1 per cell]
O 0.016 0.084 0.649 [1 per cell]
O 0.094 0.276 0.015 [1 per cell]
O 0.179 0.418 0.310 [1 per cell]
O 0.280 0.595 0.685 [1 per cell]
O 0.349 0.741 0.982 [1 per cell]
O 0.441 0.931 0.358 [1 per cell]
O 0.523 0.083 0.639 [1 per cell]
O 0.574 0.291 0.012 [1 per cell]
O 0.679 0.421 0.312 [1 per cell]
O 0.780 0.602 0.687 [1 per cell]
O 0.897 0.728 0.985 [1 per cell]
O 0.943 0.937 0.343 [1 per cell]